! PBE-GGA LaNiSbI2, optimized geometry; values from VASP
&SYSTEM
  ibrav = 0, nat = 5, ntyp = 4
/
ATOMIC_SPECIES
La 138.91 La.upf
Ni 58.69 Ni.upf
Sb 121.76 Sb.upf
I 126.90 I.upf
CELL_PARAMETERS angstrom
5.145 0.000 0.000
0.000 5.145 0.000
0.000 0.000 5.447
ATOMIC_POSITIONS crystal
La 0.000 0.000 0.000
Ni 0.500 0.500 0.500
Sb 0.500 0.500 0.000
I 0.000 0.500 0.500
I 0.500 0.000 0.500
! Formation energy from raw total energies = -0.36 eV per atom
! Final energy = -3.95 eV per atom